YAlInRu2 | PBE-GGA | optimized geometry

The final energy is -4.72 eV per atom. The total moment is 0.41 μB per formula unit. The value obtained for the formation enthalpy at 0 K is 1579 meV/atom.

It has space group P4/mmm (No. 123), with a = 4.8616 Å, b = 4.8616 Å, c = 5.6095 Å, α = 90.00°, β = 90.00° and γ = 90.00°. The asymmetric unit holds Y at (0.0000, 0.0000, 0.0000), Al at (0.5000, 0.5000, 0.5000), In at (0.0000, 0.0000, 0.5000) and Ru at (0.0000, 0.5000, 0.0000).